DFT (PBE) results for AlCrGeIr2 after structural relaxation.

Structure (extended XYZ):
```
5
Lattice="4.5249 0.0000 0.0000 0.0000 4.5249 0.0000 0.0000 0.0000 4.5968" Properties=species:S:1:pos:R:3 pbc="T T T"
Al 0.0000 0.0000 0.0000
Cr 2.2625 2.2625 0.0000
Ge 0.0000 0.0000 2.2984
Ir 0.0000 2.2625 2.2984
Ir 2.2625 0.0000 2.2984
```

Properties
Energy of formation from the pure elements ... 1.354 eV per atom



DFT (PBE) results for TiAgSe2 after structural relaxation.

Structure (extended XYZ):
```
4
Lattice="1.8322 1.0578 7.4051 -1.8322 1.0578 7.4051 0.0000 -2.1156 7.4051" Properties=species:S:1:pos:R:3 pbc="T T T"
Ti 0.0000 0.0000 0.0000
Ag 0.0000 0.0000 3.3538
Se 0.0000 0.0000 5.9080
Se 0.0000 0.0000 16.3557
```

Properties
E_form (uncorrected) ... -0.7111 eV per atom